Computed, not measured: crystalline ScNb2Al at its relaxed geometry at the PBE-GGA level of DFT.

Output
- magnetization (μB per atom) = 0.00
- formation energy from the elements (eV/atom) = -0.16

a b c (Å): 4.5758 4.0242 4.0242
angles (deg): 90.00 90.00 90.00
Positions (direct):
Nb1 0.0000 0.5000 0.0000
Al1 0.5000 0.0000 0.0000
Nb2 0.0000 0.0000 0.5000
Sc1 0.5000 0.5000 0.5000